1.
Entry from the Alexandria database: a relaxed structure of CdAsP (PBE).

The uncorrected energy is -9.52 eV/cell. The spin magnetization is 0.00 μB/f.u. The density of states at the Fermi level is 0.138 states/eV per atom.

Cell lengths 4.569, 4.569, 4.569 Å; angles 60.00, 60.00, 60.00 degrees
Fractional positions:
As (0.500, 0.500, 0.500)
Cd (0.250, 0.250, 0.250)
P (0.000, 0.000, 0.000)



2.
Entry from the Alexandria database: a relaxed structure of CdAs3P (PBE).

The uncorrected energy is -17.21 eV/cell. The spin magnetization is 0.00 μB/f.u. The density of states at the Fermi level is 0.973 states/eV per atom.

Cell lengths 4.819, 4.819, 4.819 Å; angles 90.00, 90.00, 90.00 degrees
Fractional positions:
As (0.500, 0.000, 0.000)
P (0.000, 0.000, 0.000)
As (0.000, 0.000, 0.500)
As (0.000, 0.500, 0.000)
Cd (0.500, 0.500, 0.500)



- Which value of uncorrected energy does entry 2 give?
  -17.21 eV/cell



- Look up the uncorrected energy of the first one.
  -9.52 eV/cell